Record 1
The following is a PBE calculation of a relaxed TiCdPO2 crystal, from Alexandria via LeMat-Bulk.

Calculated values
Crystal system = tetragonal

The structure in CIF format:
```
data_TiCdPO2
_cell_length_a 4.0331
_cell_length_b 4.0331
_cell_length_c 5.0607
_cell_angle_alpha 90.00
_cell_angle_beta 90.00
_cell_angle_gamma 90.00
_symmetry_space_group_name_H-M 'P 4/m m m'
_symmetry_Int_Tables_number 123
_symmetry_space_group_name_Hall '-P 4 2'
loop_
_atom_site_label
_atom_site_type_symbol
_atom_site_fract_x
_atom_site_fract_y
_atom_site_fract_z
Ti1 Ti 0.0000 0.0000 0.0000
Cd1 Cd 0.5000 0.5000 0.5000
P1 P 0.5000 0.5000 0.0000
O1 O 0.0000 0.5000 0.5000
```

***

Record 2
The following is a PBE calculation of a relaxed K2GaBr5 crystal, from Alexandria via LeMat-Bulk.

Calculated values
Crystal system = tetragonal

The structure in CIF format:
```
data_K2GaBr5
_cell_length_a 7.8451
_cell_length_b 7.8451
_cell_length_c 9.5822
_cell_angle_alpha 90.00
_cell_angle_beta 90.00
_cell_angle_gamma 90.00
_symmetry_space_group_name_H-M 'I 4 m m'
_symmetry_Int_Tables_number 107
_symmetry_space_group_name_Hall 'I 4 -2'
loop_
_atom_site_label
_atom_site_type_symbol
_atom_site_fract_x
_atom_site_fract_y
_atom_site_fract_z
K1 K 0.0000 0.5000 0.0000
Ga1 Ga 0.0000 0.0000 0.2096
Br1 Br 0.0000 0.0000 0.9628
Br2 Br 0.2223 0.2223 0.2655
```

***

Record 3
The following is a PBE calculation of a relaxed Dy2YEr4Sc crystal, from Alexandria via LeMat-Bulk.

Calculated values
Energy of formation = 35 meV/atom
Crystal system = tetragonal

The structure in CIF format:
```
data_Dy2YEr4Sc
_cell_length_a 4.9458
_cell_length_b 4.9458
_cell_length_c 9.8573
_cell_angle_alpha 90.00
_cell_angle_beta 90.00
_cell_angle_gamma 90.00
_symmetry_space_group_name_H-M 'P 4/m m m'
_symmetry_Int_Tables_number 123
_symmetry_space_group_name_Hall '-P 4 2'
loop_
_atom_site_label
_atom_site_type_symbol
_atom_site_fract_x
_atom_site_fract_y
_atom_site_fract_z
Dy1 Dy 0.0000 0.0000 0.0000
Dy2 Dy 0.5000 0.5000 0.5000
Y1 Y 0.0000 0.0000 0.5000
Er1 Er 0.0000 0.5000 0.2444
Sc1 Sc 0.5000 0.5000 0.0000
```

***

Record 4
The following is a PBE calculation of a relaxed HfBeHg2Os crystal, from Alexandria via LeMat-Bulk.

Calculated values
Energy of formation = 577 meV/atom
Crystal system = tetragonal

The structure in CIF format:
```
data_HfBeHg2Os
_cell_length_a 4.4977
_cell_length_b 4.4977
_cell_length_c 4.4033
_cell_angle_alpha 90.00
_cell_angle_beta 90.00
_cell_angle_gamma 90.00
_symmetry_space_group_name_H-M 'P 4/m m m'
_symmetry_Int_Tables_number 123
_symmetry_space_group_name_Hall '-P 4 2'
loop_
_atom_site_label
_atom_site_type_symbol
_atom_site_fract_x
_atom_site_fract_y
_atom_site_fract_z
Hf1 Hf 0.0000 0.0000 0.0000
Be1 Be 0.5000 0.5000 0.5000
Hg1 Hg 0.0000 0.5000 0.5000
Os1 Os 0.5000 0.5000 0.0000
```

***

Number 1: final energy -4.6098 eV/atom. Number 2: final energy -2.9497 eV/atom. Number 3: final energy -4.9968 eV/atom. Number 4: final energy -4.5257 eV/atom.